Entry 1:
Tb5ErTm2In | the Alexandria database | PBE | optimized geometry; M_tot = 0.0 μB/cell; calculated volume = 561.33 Å³/cell; DOS(E_F) = 25.2 states/eV/cell; energy of formation from the pure elements = 0.0002 eV per atom
1.0
2.6724 -10.0040 0.0000
2.6724 10.0040 0.0000
0.0000 0.0000 10.4982
Tb Er Tm In
10 2 4 2
direct
0.9999 0.0001 0.0000
0.0001 0.9999 0.5000
0.1192 0.8808 0.7503
0.2112 0.7888 0.0509
0.2107 0.7893 0.4499
0.4877 0.5123 0.7504
0.5123 0.4877 0.2504
0.7888 0.2112 0.5509
0.7893 0.2107 0.9499
0.8808 0.1192 0.2503
0.2945 0.7055 0.7504
0.7055 0.2945 0.2504
0.3844 0.6156 0.0408
0.3842 0.6158 0.4599
0.6156 0.3844 0.5408
0.6158 0.3842 0.9599
0.0957 0.9043 0.2496
0.9043 0.0957 0.7496

***

Entry 2:
LaMo2Br | the Alexandria database | PBE | optimized geometry; E_form (uncorrected) = 60.8 kJ per mole of atoms; M_tot = 0.0 μB/cell; calculated volume = 105.47 Å³/cell; excess energy over the best structure of this formula in the dataset = 63.7 kJ/mol of atoms; DOS(E_F) = 4.7 states/eV/cell
1.0
3.4758 0.0000 0.0000
0.0000 5.0872 0.0000
0.0000 0.0000 5.9652
La Mo Br
1 2 1
direct
0.0000 0.0000 0.0000
0.5000 0.5000 0.1793
0.5000 0.5000 0.8207
0.0000 0.0000 0.5000

***

Entry 3:
Al2CrFe3 | the Alexandria database | PBE | optimized geometry; M_tot = 0.0 μB/cell; calculated volume = 136.73 Å³/cell; DOS(E_F) = 3.9 states/eV/cell; energy of formation from the pure elements = -0.2667 eV per atom
1.0
2.0006 -5.9992 0.0000
2.0006 5.9992 0.0000
0.0000 0.0000 5.6963
Al Cr Fe
4 2 6
direct
0.0000 0.0000 0.0000
0.0000 0.0000 0.5000
0.3334 0.6666 0.0000
0.6666 0.3334 0.0000
0.3369 0.6631 0.5000
0.6631 0.3369 0.5000
0.1700 0.8300 0.2619
0.1700 0.8300 0.7381
0.5000 0.5000 0.2565
0.5000 0.5000 0.7435
0.8300 0.1700 0.2619
0.8300 0.1700 0.7381

***

Entry 4:
AlGa2NiBr | the Alexandria database | PBE | optimized geometry; E_form (uncorrected) = 33.2 kJ per mole of atoms; M_tot = 0.0 μB/cell; calculated volume = 119.38 Å³/cell; DOS(E_F) = 2.7 states/eV/cell
1.0
5.1899 0.0000 0.0000
0.0000 5.1899 0.0000
0.0000 0.0000 4.4321
Al Ga Ni Br
1 2 1 1
direct
0.0000 0.0000 0.0000
0.0000 0.5000 0.0000
0.5000 0.0000 0.0000
0.0000 0.0000 0.5000
0.5000 0.5000 0.5000

***

Entry 5:
Sb2W | the Alexandria database | PBE | optimized geometry; E_form (uncorrected) = 33.6 kJ per mole of atoms; M_tot = 0.0 μB/cell; calculated volume = 287.41 Å³/cell; excess energy over the best structure of this formula in the dataset = 6.8 kJ/mol of atoms; DOS(E_F) = 8.1 states/eV/cell
1.0
5.4757 0.0000 0.0000
0.0000 4.2917 0.0000
0.0000 0.0000 12.2305
Sb W
8 4
direct
0.1027 0.2500 0.1905
0.1165 0.7500 0.4118
0.3835 0.2500 0.9118
0.3973 0.7500 0.6905
0.6027 0.2500 0.3095
0.6165 0.7500 0.0882
0.8835 0.2500 0.5882
0.8973 0.7500 0.8095
0.1182 0.7500 0.0311
0.3818 0.2500 0.5311
0.6182 0.7500 0.4689
0.8818 0.2500 0.9689

***

Entry 6:
NaScPCl2 | the Alexandria database | PBE | optimized geometry; E_form (uncorrected) = -28.9 kJ per mole of atoms; M_tot = 1.0 μB/cell; calculated volume = 120.24 Å³/cell; excess energy over the best structure of this formula in the dataset = 78.5 kJ/mol of atoms; DOS(E_F) = 0.5 states/eV/cell
1.0
4.6948 0.0000 0.0000
0.0000 4.6948 0.0000
0.0000 0.0000 5.4549
Na Sc P Cl
1 1 1 2
direct
0.0000 0.0000 0.0000
0.5000 0.5000 0.5000
0.0000 0.0000 0.5000
0.0000 0.5000 0.0000
0.5000 0.0000 0.0000

***

Look up the M_tot of the fifth one. 0.0 μB/cell

***

Which of these has the lowest calculated volume? LaMo2Br

***

Which value of DOS(E_F) does entry 1 give? 25.2 states/eV/cell